DFT (PBE-GGA) results for crystalline Rb2TaBr at its relaxed geometry.

Summary:
The raw formation energy is 19.53 kcal/mol of atoms. The calculation puts the size of the total moment at 4.00 μB/f.u. The density of states at the Fermi level is 1.370 states/eV/atom. As for the polymorph energy (0 for the lowest one): 125 meV per atom.

a b c (Å): 8.8326 8.8326 8.8326
angles (deg): 90.00 90.00 90.00
Last column: nearest neighbours and their distance in Å.
Space group Fm-3m (No. 225)
Unique sites:
Rb1 0.2500 0.2500 0.2500 x8  4 Ta 3.82, 4 Br 3.82
Ta1 0.0000 0.0000 0.0000 x4  8 Rb 3.82
Br1 0.0000 0.0000 0.5000 x4  8 Rb 3.82